1.
Computed, not measured: RbSrMnIn2 at its PBEsol-relaxed geometry at the SCAN level of DFT.

```
5
Lattice="-4.8611 0.7587 1.7546 1.2037 -2.5097 4.4201 1.5674 4.7685 2.2808" Properties=species:S:1:pos:R:3 pbc="T T T"
Mn 0.0000 0.0000 0.0000
In 0.6018 -1.2549 2.2100
In -2.4306 0.3793 0.8773
Sr 0.7837 2.3843 1.1404
Rb -1.0450 1.5087 4.2277
```

Computed properties:
- magnetization (μB per formula unit) = 2.76
- space group = P4/mmm (123)

2.
Computed, not measured: Ta2TcSe at its PBEsol-relaxed geometry at the SCAN level of DFT.

```
4
Lattice="3.1399 0.0000 0.0000 0.0000 4.5891 0.0220 0.0000 -0.9968 4.4796" Properties=species:S:1:pos:R:3 pbc="T T T"
Ta 0.0000 -0.4984 2.2398
Tc 1.5700 0.0000 0.0000
Ta 0.0000 2.2946 0.0110
Se 1.5700 1.7961 2.2508
```

Computed properties:
- magnetization (μB per formula unit) = 0.00
- uncorrected formation energy (meV/atom) = -6
- space group = Cmmm (65)

3.
Computed, not measured: Y2GaBiRu at its PBEsol-relaxed geometry at the SCAN level of DFT.

```
5
Lattice="-4.2204 2.4426 -1.2765 0.9639 -0.9948 -5.0907 -2.7188 -4.5065 0.3658" Properties=species:S:1:pos:R:3 pbc="T T T"
Bi -2.1102 1.2213 -0.6382
Y 0.4820 -0.4974 -2.5453
Ru -2.9876 -1.5294 -3.0007
Ga 0.0000 0.0000 0.0000
Y -1.3594 -2.2532 0.1829
```

Computed properties:
- magnetization (μB per formula unit) = 1.49
- space group = P4/mmm (123)

4.
Computed, not measured: SiNiPd at its PBEsol-relaxed geometry at the SCAN level of DFT.

```
9
Lattice="-0.9079 -1.9449 -2.7331 -0.9827 -4.7164 3.6827 -4.5059 3.8607 -1.2505" Properties=species:S:1:pos:R:3 pbc="T T T"
Pd -3.1515 1.3388 -2.1152
Pd -1.0423 -3.7960 0.8381
Pd -2.6567 -1.3159 -0.3904
Si -2.1571 -1.8574 2.0383
Si -0.4540 -0.9724 -1.3665
Ni -1.1383 0.9753 -0.3159
Si -3.3315 1.0017 0.3939
Ni -0.2483 -1.1915 0.9303
Ni -4.1020 -0.6395 1.8178
```

Computed properties:
- magnetization (μB per formula unit) = 0.00
- uncorrected formation energy (meV/atom) = -661
- space group = P-62m (189)

5.
Computed, not measured: ZrCu2Pb at its PBEsol-relaxed geometry at the SCAN level of DFT.

```
4
Lattice="3.4161 0.0000 0.0000 0.0000 3.4708 0.0000 0.0000 0.0000 6.0863" Properties=species:S:1:pos:R:3 pbc="T T T"
Zr 1.7080 1.7354 3.0432
Cu 0.0000 0.0000 4.3607
Cu 0.0000 0.0000 1.7257
Pb 1.7080 1.7354 0.0000
```

Computed properties:
- magnetization (μB per formula unit) = 0.44
- space group = Pmmm (47)

6.
Computed, not measured: LiAc2Sn at its PBEsol-relaxed geometry at the SCAN level of DFT.

```
4
Lattice="-1.3831 5.1837 1.7666 -3.6109 3.1375 -3.0036 -5.1887 1.0156 1.9876" Properties=species:S:1:pos:R:3 pbc="T T T"
Ac -2.5457 2.3342 0.1877
Li -5.0914 4.6684 0.3753
Ac -7.6370 7.0026 0.5630
Sn 0.0000 0.0000 0.0000
```

Computed properties:
- magnetization (μB per formula unit) = 0.07
- space group = Fm-3m (225)

7.
Computed, not measured: KNiAu at its PBEsol-relaxed geometry at the SCAN level of DFT.

```
3
Lattice="-0.6837 -0.3392 -4.4422 -0.6481 -4.0458 -1.8780 -4.0700 -1.1280 -1.5741" Properties=species:S:1:pos:R:3 pbc="T T T"
Ni -1.3504 -1.3782 -1.9736
K -2.7009 -2.7565 -3.9472
Au 0.0000 0.0000 0.0000
```

Computed properties:
- magnetization (μB per formula unit) = 0.32
- space group = F-43m (216)

8.
Computed, not measured: MgAsF2 at its PBEsol-relaxed geometry at the SCAN level of DFT.

```
4
Lattice="-0.4770 3.5644 -2.3262 -2.3545 -0.0763 -3.5769 -3.7894 1.9928 -0.1123" Properties=species:S:1:pos:R:3 pbc="T T T"
As -3.3105 2.7405 -3.0077
F -4.9657 4.1107 -4.5115
Mg 0.0000 0.0000 0.0000
F -1.6552 1.3702 -1.5038
```

Computed properties:
- magnetization (μB per formula unit) = 1.03
- uncorrected formation energy (meV/atom) = -1027
- space group = Fm-3m (225)

9.
Computed, not measured: InSb3F18 at its PBEsol-relaxed geometry at the SCAN level of DFT.

```
44
Lattice="8.7756 0.0000 0.0000 -4.3878 7.5999 0.0000 0.0000 0.0000 9.5623" Properties=species:S:1:pos:R:3 pbc="T T T"
F 2.8070 3.3038 1.1906
F 2.8601 6.9067 3.5256
F 5.9685 3.3038 5.9717
F 0.0469 3.2087 1.3862
F 4.4347 4.3911 3.3949
F 1.5808 4.2961 8.3717
F 6.0202 1.6450 8.1761
F 7.4114 0.9764 6.0367
F 2.8023 1.5637 8.1761
F 4.5513 5.9302 1.2555
F -0.0469 3.2087 6.1673
F 4.3409 4.3911 8.1761
F 1.5855 6.0361 1.3862
In 0.0000 0.0000 0.0000
F 5.9733 1.5637 3.3949
F 2.9301 3.5170 5.9717
F 7.2479 0.6932 1.2555
Sb 1.5321 2.6537 2.3906
F 1.6324 5.9549 6.1673
F 1.4576 4.0829 3.5906
F -0.1635 1.6696 8.3067
F 4.2242 5.9302 6.0367
F -1.5808 4.2961 3.5906
F -3.0236 6.6234 3.5256
In 0.0000 0.0000 4.7811
Sb 5.7114 0.0000 2.3906
F 3.0236 6.6234 8.3067
F 4.2647 0.7791 5.9717
Sb -1.5321 2.6537 7.1717
F 2.7554 1.6450 3.3949
Sb 3.0642 0.0000 7.1717
Sb -2.8557 4.9462 2.3906
F -1.4577 4.0829 8.3717
F 0.1231 6.8208 3.5906
Sb 2.8557 4.9462 7.1717
F 1.3642 0.9764 1.2555
F -0.1231 6.8208 8.3717
F 0.1635 1.6696 3.5256
F -1.5855 6.0361 6.1673
F -1.6324 5.9549 1.3862
F 4.5109 0.7791 1.1906
F 5.8454 3.5170 1.1906
F 1.5277 0.6932 6.0367
F -2.8601 6.9067 8.3067
```

Computed properties:
- magnetization (μB per formula unit) = 0.30
- uncorrected formation energy (meV/atom) = -2396
- space group = P-3c1 (165)

10.
Computed, not measured: KPrS2 at its PBEsol-relaxed geometry at the SCAN level of DFT.

```
4
Lattice="-2.5123 -0.8031 -3.2275 1.5767 -1.5518 -3.5326 -1.3627 -7.5430 0.2462" Properties=species:S:1:pos:R:3 pbc="T T T"
K -1.1491 -4.9490 -3.2570
S -0.5332 -2.2085 -1.7269
S -1.7650 -7.6894 -4.7871
Pr 0.0000 0.0000 0.0000
```

Computed properties:
- magnetization (μB per formula unit) = 0.00
- uncorrected formation energy (meV/atom) = -2124
- space group = R-3m (166)

11.
Computed, not measured: NbPb3O at its PBEsol-relaxed geometry at the SCAN level of DFT.

```
5
Lattice="4.7858 0.0000 0.0000 0.0000 4.7858 0.0000 0.0000 0.0000 4.7858" Properties=species:S:1:pos:R:3 pbc="T T T"
Pb 0.0000 2.3929 0.0000
O 0.0000 0.0000 0.0000
Nb 2.3929 2.3929 2.3929
Pb 2.3929 0.0000 0.0000
Pb 0.0000 0.0000 2.3929
```

Computed properties:
- magnetization (μB per formula unit) = 2.07
- uncorrected formation energy (meV/atom) = 207
- space group = Pm-3m (221)

12.
Computed, not measured: Cd3Pd at its PBEsol-relaxed geometry at the SCAN level of DFT.

```
4
Lattice="4.0987 0.0000 0.0000 0.0000 4.0987 0.0000 -2.0494 -2.0494 4.2826" Properties=species:S:1:pos:R:3 pbc="T T T"
Cd 2.0494 0.0000 2.1413
Cd 0.0000 2.0494 2.1413
Cd 2.0494 2.0494 0.0000
Pd 0.0000 0.0000 0.0000
```

Computed properties:
- magnetization (μB per formula unit) = 0.00
- space group = I4/mmm (139)

13.
Computed, not measured: Ca2AlSi at its PBEsol-relaxed geometry at the SCAN level of DFT.

```
4
Lattice="-0.5531 -3.0623 -2.7242 2.4000 -0.2374 -3.3598 5.5779 -5.4214 1.8222" Properties=species:S:1:pos:R:3 pbc="T T T"
Ca 5.1039 -6.1361 -3.5569
Si 3.1902 -3.9057 -2.5361
Al 2.3924 -2.6472 -0.6495
Ca 2.2977 -3.6923 -5.7342
```

Computed properties:
- magnetization (μB per formula unit) = 0.05
- uncorrected formation energy (meV/atom) = -279
- space group = R3m (160)

14.
Computed, not measured: La2InW at its PBEsol-relaxed geometry at the SCAN level of DFT.

```
4
Lattice="-2.0777 -1.7136 -1.6077 2.8477 -1.3062 0.1510 -2.8430 -5.1399 9.1524" Properties=species:S:1:pos:R:3 pbc="T T T"
W -1.3883 -2.5100 4.4695
In -0.4227 -2.9702 1.8719
La -0.0725 -0.1311 0.2335
La -1.6109 -5.1184 5.6970
```

Computed properties:
- magnetization (μB per formula unit) = 0.00
- space group = Cmm2 (35)

15.
Computed, not measured: Sc2MoOs at its PBEsol-relaxed geometry at the SCAN level of DFT.

```
4
Lattice="-1.1187 2.5633 1.4167 -3.9207 -2.3575 1.1695 4.4430 -1.3914 2.5570" Properties=species:S:1:pos:R:3 pbc="T T T"
Mo -1.9604 -1.1788 0.5848
Sc -1.5225 -0.5652 3.2894
Os -0.5594 1.2816 0.7084
Sc 0.9260 -0.6204 1.8538
```

Computed properties:
- magnetization (μB per formula unit) = 0.00
- space group = Immm (71)

16.
Computed, not measured: BaTaW2 at its PBEsol-relaxed geometry at the SCAN level of DFT.

```
4
Lattice="-0.8798 1.8770 1.8623 0.1171 -3.9003 3.9865 4.8070 3.1794 -0.9335" Properties=species:S:1:pos:R:3 pbc="T T T"
W 2.4620 -0.3604 1.5265
Ba -0.4399 0.9385 0.9311
W 2.4035 1.5897 -0.4667
Ta -0.3814 -1.0116 2.9244
```

Computed properties:
- magnetization (μB per formula unit) = 0.00
- space group = Cmmm (65)

17.
Computed, not measured: MgReOs at its PBEsol-relaxed geometry at the SCAN level of DFT.

```
3
Lattice="2.7801 0.0000 0.0000 -1.3901 2.4077 0.0000 0.0000 0.0000 6.8818" Properties=species:S:1:pos:R:3 pbc="T T T"
Mg 0.0000 0.0000 6.8597
Re 1.3901 0.8026 2.4301
Os 0.0000 1.6051 4.4739
```

Computed properties:
- magnetization (μB per formula unit) = 0.00
- space group = P3m1 (156)

18.
Computed, not measured: CsTe3W at its PBEsol-relaxed geometry at the SCAN level of DFT.

```
5
Lattice="5.9881 0.0000 0.0000 0.0000 5.9881 0.0000 0.0000 0.0000 5.9881" Properties=species:S:1:pos:R:3 pbc="T T T"
Te 0.0000 0.0000 2.9941
W 2.9941 2.9941 2.9941
Te 2.9941 0.0000 0.0000
Te 0.0000 2.9941 0.0000
Cs 0.0000 0.0000 0.0000
```

Computed properties:
- magnetization (μB per formula unit) = 3.38
- uncorrected formation energy (meV/atom) = 2359
- space group = Pm-3m (221)

19.
Computed, not measured: YTiIN2 at its PBEsol-relaxed geometry at the SCAN level of DFT.

```
5
Lattice="-3.9837 -1.2811 -0.9806 0.9104 -3.9418 1.4513 -1.7053 1.4563 5.0252" Properties=species:S:1:pos:R:3 pbc="T T T"
Ti -2.3893 -1.8833 2.7479
N -1.9918 -0.6406 -0.4903
Y -0.8526 0.7281 2.5126
N 0.4552 -1.9709 0.7256
I 0.0000 0.0000 0.0000
```

Computed properties:
- magnetization (μB per formula unit) = 1.55
- uncorrected formation energy (meV/atom) = 1899
- space group = P4/mmm (123)

20.
Computed, not measured: ZnTc2Mo at its PBEsol-relaxed geometry at the SCAN level of DFT.

```
4
Lattice="-1.6414 -2.5382 0.7132 1.6695 0.0016 3.8482 -3.2640 3.7657 -0.8719" Properties=species:S:1:pos:R:3 pbc="T T T"
Mo -2.3886 -0.0642 1.0363
Zn 0.0025 -1.2594 2.2857
Tc -3.2354 1.2288 3.6894
Tc -0.8361 1.2848 2.6484
```

Computed properties:
- magnetization (μB per formula unit) = 0.00
- space group = Imm2 (44)

21.
Computed, not measured: Cs2AuF at its PBEsol-relaxed geometry at the SCAN level of DFT.

```
8
Lattice="-0.4489 -4.9664 -5.3663 0.8868 -3.1849 6.5371 -6.1641 3.9196 0.5518" Properties=species:S:1:pos:R:3 pbc="T T T"
Cs -0.6952 -5.9066 -1.2921
Au -1.1004 -3.8920 2.3577
F -4.6258 -0.3397 -0.6350
F -2.6387 0.3674 3.5445
Au 0.0000 0.0000 0.0000
Cs -2.6580 -2.2797 -0.3558
Cs -4.3875 -1.7684 3.8507
Cs -3.7116 1.4913 1.2425
```

Computed properties:
- magnetization (μB per formula unit) = 0.00
- uncorrected formation energy (meV/atom) = -1549
- space group = I-42d (122)

22.
Computed, not measured: TiSeSN2 at its PBEsol-relaxed geometry at the SCAN level of DFT.

```
5
Lattice="-1.9343 -3.0751 -0.1565 2.9589 -1.9075 0.9104 -1.0918 0.4574 4.5070" Properties=species:S:1:pos:R:3 pbc="T T T"
Ti -0.0336 -2.2626 2.6304
N 1.4794 -0.9537 0.4552
Se -0.5459 0.2287 2.2535
S 0.0000 0.0000 0.0000
N -0.9671 -1.5376 -0.0782
```

Computed properties:
- magnetization (μB per formula unit) = 0.50
- uncorrected formation energy (meV/atom) = 1104
- space group = P4/mmm (123)

23.
Computed, not measured: MgMoI3 at its PBEsol-relaxed geometry at the SCAN level of DFT.

```
5
Lattice="5.4891 0.0000 0.0000 0.0000 5.4891 0.0000 0.0000 0.0000 5.4891" Properties=species:S:1:pos:R:3 pbc="T T T"
Mg 2.7446 2.7446 2.7446
Mo 0.0000 0.0000 0.0000
I 0.0000 0.0000 2.7446
I 0.0000 2.7446 0.0000
I 2.7446 0.0000 0.0000
```

Computed properties:
- magnetization (μB per formula unit) = 2.98
- uncorrected formation energy (meV/atom) = 202
- space group = Pm-3m (221)

24.
Computed, not measured: CeSbPt5 at its PBEsol-relaxed geometry at the SCAN level of DFT.

```
14
Lattice="5.3055 0.0000 0.0000 2.6528 4.5947 0.0000 2.6528 1.5316 10.3268" Properties=species:S:1:pos:R:3 pbc="T T T"
Pt 5.0446 4.5853 2.2689
Ce 0.0000 0.0000 0.0000
Pt 3.8568 3.5982 8.0579
Pt 2.6528 1.5316 4.5505
Sb 2.6528 1.5316 7.0543
Pt 5.3055 3.0631 10.3115
Pt 5.3055 3.0631 0.0153
Pt 5.5665 1.5410 8.0579
Pt 4.1178 2.0761 2.2689
Sb 7.9583 4.5947 3.2725
Pt 6.7542 2.5280 2.2689
Pt 6.4933 4.0502 8.0579
Ce 5.3055 3.0631 5.1634
Pt 7.9583 4.5947 5.7762
```

Computed properties:
- magnetization (μB per formula unit) = 0.41
- uncorrected formation energy (meV/atom) = -798
- space group = R-3 (148)

25.
Computed, not measured: BeAlTe2 at its PBEsol-relaxed geometry at the SCAN level of DFT.

```
8
Lattice="6.4982 0.0000 0.0000 -3.2491 5.7334 -0.2031 0.0000 -3.4883 5.4825" Properties=species:S:1:pos:R:3 pbc="T T T"
Te 1.8949 0.1252 2.0052
Al 0.0000 0.2505 4.0103
Te 1.6245 3.7189 0.7610
Be 3.2491 1.9946 1.2691
Al 0.0000 0.0000 0.0000
Te -1.6245 2.2649 3.0462
Te 4.6033 -1.6189 4.7464
Be 3.2491 -1.7441 2.7413
```

Computed properties:
- magnetization (μB per formula unit) = 0.00
- uncorrected formation energy (meV/atom) = -109
- space group = I-42d (122)

26.
Computed, not measured: LaSc3Ir at its PBEsol-relaxed geometry at the SCAN level of DFT.

```
5
Lattice="-1.0171 3.7331 -3.0018 -0.8663 -3.1615 -3.6382 -4.7113 -0.2246 1.3170" Properties=species:S:1:pos:R:3 pbc="T T T"
Ir -3.2974 0.1735 -2.6615
Sc -2.3557 -0.1123 0.6585
Sc -0.5086 1.8666 -1.5009
Sc -0.4332 -1.5807 -1.8191
La 0.0000 0.0000 0.0000
```

Computed properties:
- magnetization (μB per formula unit) = 0.00
- space group = Pm-3m (221)

no.,mass density (g cm⁻³),total DFT energy (no corrections) (eV/atom)
1,5.05,-25.588
2,13.85,-47.082
3,6.60,-36.473
4,8.70,-20.315
5,9.79,-34.219
6,7.55,-55.238
7,7.56,-30.592
8,4.10,-9.088
9,4.28,-11.891
10,3.70,-19.852
11,11.07,-53.134
12,10.24,-31.252
13,1.99,-9.553
14,9.76,-46.817
15,9.39,-33.841
16,14.29,-59.758
17,14.45,-49.167
18,5.41,-41.492
19,4.76,-17.940
20,10.51,-29.574
21,5.31,-38.629
22,5.04,-11.759
23,5.03,-29.815
24,16.32,-62.625
25,4.84,-21.761
26,6.59,-30.057